## PmY4Cd5 (PBE)

Data for crystalline PmY4Cd5 at its relaxed geometry.

Its total DFT energy (no corrections) is -3.86 eV per atom. For the volume, the calculation gives 26.75 A^3/atom.

abc: 3.7587 3.7587 18.9319
angles: 90.00 90.00 90.00
Sites, in units of the cell vectors:
Pm  0.0000  0.0000  0.0000
Y  0.0000  0.0000  0.2030
Y  0.0000  0.0000  0.4012
Y  0.0000  0.0000  0.5988
Y  0.0000  0.0000  0.7970
Cd  0.5000  0.5000  0.1058
Cd  0.5000  0.5000  0.3020
Cd  0.5000  0.5000  0.5000
Cd  0.5000  0.5000  0.6980
Cd  0.5000  0.5000  0.8942

---

## Ac3Ag6Sn5 (PBE)

Data for crystalline Ac3Ag6Sn5 at its relaxed geometry.

Its total DFT energy (no corrections) is -3.97 eV per atom. For the volume, the calculation gives 25.69 A^3/atom.

abc: 4.8183 14.2447 10.4798
angles: 90.00 90.00 90.00
Sites, in units of the cell vectors:
Ac  0.2500  0.0630  0.2447
Ac  0.2500  0.4370  0.2447
Ac  0.2500  0.7500  0.2419
Ac  0.7500  0.2500  0.7581
Ac  0.7500  0.5630  0.7553
Ac  0.7500  0.9370  0.7553
Ag  0.2500  0.0798  0.6067
Ag  0.2500  0.2500  0.0389
Ag  0.2500  0.2500  0.4641
Ag  0.2500  0.4202  0.6067
Ag  0.2500  0.5964  0.9831
Ag  0.2500  0.9036  0.9831
Ag  0.7500  0.0964  0.0169
Ag  0.7500  0.4036  0.0169
Ag  0.7500  0.5798  0.3933
Ag  0.7500  0.7500  0.5359
Ag  0.7500  0.7500  0.9611
Ag  0.7500  0.9202  0.3933
Sn  0.2500  0.0917  0.8728
Sn  0.2500  0.4083  0.8728
Sn  0.2500  0.6199  0.5275
Sn  0.2500  0.7500  0.7908
Sn  0.2500  0.8801  0.5275
Sn  0.7500  0.1199  0.4725
Sn  0.7500  0.2500  0.2092
Sn  0.7500  0.3801  0.4725
Sn  0.7500  0.5917  0.1272
Sn  0.7500  0.9083  0.1272

---

## Eu2HoIn (PBE)

Data for crystalline Eu2HoIn at its relaxed geometry.

Its total DFT energy (no corrections) is -7.11 eV per atom. For the volume, the calculation gives 33.29 A^3/atom.

abc: 3.6756 3.6756 9.8554
angles: 90.00 90.00 90.00
Sites, in units of the cell vectors:
Eu  0.0000  0.0000  0.2268
Eu  0.0000  0.0000  0.7732
Ho  0.5000  0.5000  0.5000
In  0.5000  0.5000  0.0000

---

## NaCaGaAs2 (PBE)

Data for crystalline NaCaGaAs2 at its relaxed geometry.

Its total DFT energy (no corrections) is -3.80 eV per atom. For the volume, the calculation gives 25.86 A^3/atom.

abc: 8.1776 8.1776 8.5419
angles: 113.83 113.83 29.89
Sites, in units of the cell vectors:
Na  0.0810  0.0810  0.4179
Na  0.9190  0.9190  0.5821
Ca  0.2272  0.2272  0.1722
Ca  0.7728  0.7728  0.8278
Ga  0.4386  0.4386  0.1078
Ga  0.5614  0.5614  0.8922
As  0.1248  0.1248  0.7922
As  0.3870  0.3870  0.7822
As  0.6130  0.6130  0.2178
As  0.8752  0.8752  0.2078

---

## Pr2SmBr (PBE)

Data for crystalline Pr2SmBr at its relaxed geometry.

For the volume, the calculation gives 32.66 A^3/atom. As for the formation energy without anion corrections: -0.564 eV/atom.

abc: 10.8951 10.8951 10.8951
angles: 19.87 19.87 19.87
Sites, in units of the cell vectors:
Pr  0.2421  0.2421  0.2421
Pr  0.7579  0.7579  0.7579
Sm  0.0000  0.0000  0.0000
Br  0.5000  0.5000  0.5000

---

## Ca2DyHoS4 (PBE)

Data for crystalline Ca2DyHoS4 at its relaxed geometry.

For the volume, the calculation gives 21.87 A^3/atom. As for the formation energy without anion corrections: -2.051 eV/atom.

abc: 6.8047 3.9326 6.9206
angles: 90.00 109.17 90.00
Sites, in units of the cell vectors:
Ca  0.0000  0.0000  0.0000
Ca  0.5000  0.5000  0.0000
Dy  0.0000  0.5000  0.5000
Ho  0.5000  0.0000  0.5000
S  0.2493  0.0000  0.7443
S  0.2529  0.5000  0.2565
S  0.7471  0.5000  0.7435
S  0.7507  0.0000  0.2557

---

## Ce2ZnHgOs (PBE)

Data for crystalline Ce2ZnHgOs at its relaxed geometry.

Its total DFT energy (no corrections) is -5.21 eV per atom. For the volume, the calculation gives 23.78 A^3/atom.

abc: 7.9456 4.0078 8.0459
angles: 90.00 111.85 90.00
Sites, in units of the cell vectors:
Ce  0.0053  0.2500  0.2148
Ce  0.3467  0.7500  0.6134
Ce  0.6533  0.2500  0.3866
Ce  0.9947  0.7500  0.7852
Zn  0.3655  0.2500  0.9465
Zn  0.6345  0.7500  0.0535
Hg  0.3156  0.7500  0.1880
Hg  0.6844  0.2500  0.8120
Os  0.1157  0.2500  0.6269
Os  0.8843  0.7500  0.3731

---

## Ce2TmAg2Pb2 (PBE)

Data for crystalline Ce2TmAg2Pb2 at its relaxed geometry.

Its total DFT energy (no corrections) is -4.39 eV per atom. For the volume, the calculation gives 25.65 A^3/atom.

abc: 9.3057 9.3057 9.3057
angles: 30.10 30.10 30.10
Sites, in units of the cell vectors:
Ce  0.1438  0.1438  0.1438
Ce  0.8562  0.8562  0.8562
Tm  0.0000  0.0000  0.0000
Ag  0.4304  0.4304  0.4304
Ag  0.5696  0.5696  0.5696
Pb  0.2729  0.2729  0.2729
Pb  0.7271  0.7271  0.7271